# 1
## Bi2PtC (GGA-PBE)

Data for crystalline Bi2PtC at its relaxed geometry.

As for the energy of formation: 765 meV/atom.

The structure belongs to space group I-42d (No. 122); the cell edges are 6.064, 6.064 and 10.685 Å and the angles 90.00°, 90.00° and 90.00°. The distinct sites, in fractional coordinates, are Bi at (0.206, 0.250, 0.125), Pt at (0.000, 0.000, 0.500) and C at (0.000, 0.000, 0.000).



# 2
## GeAs2PSe (GGA-PBE)

Data for crystalline GeAs2PSe at its relaxed geometry.

The energy relative to the lowest polymorph listed for this composition comes out at 0.0000 eV/atom. The raw formation energy is 0.6426 eV per atom.

The structure belongs to space group P4/mmm (No. 123); the cell edges are 4.721, 4.721 and 4.968 Å and the angles 90.00°, 90.00° and 90.00°. The distinct sites, in fractional coordinates, are Ge at (0.000, 0.000, 0.000), As at (0.000, 0.500, 0.500), P at (0.500, 0.500, 0.500) and Se at (0.500, 0.500, 0.000).



E_tot list, top to bottom, in eV per atom: -4.99; -3.92
Total magnetization list, top to bottom, in μB per formula unit: 0.0; 0.0